Entry from Alexandria via LeMat-Bulk: Li3FeNi3O8 after structural relaxation (PBE+U).

Cell: 5.8475 5.8475 14.4841 Å, 90.00 90.00 120.00°
Space group R-3m (No. 166, hexagonal axes)
Symmetry-distinct sites (fractional):
Li (0.0000, 0.5000, 0.0000) [9 per cell]
Fe (0.0000, 0.0000, 0.5000) [3 per cell]
Ni (0.0000, 0.5000, 0.5000) [9 per cell]
O (0.0000, 0.0000, 0.2363) [6 per cell]
O (0.0261, 0.5131, 0.2410) [18 per cell]

Summary:
Its offset from the most stable computed form is 0.026 eV per atom.